Entry from the Alexandria database: a geometry-optimized NiSnI2O structure (PBE with a Hubbard U).

Results
Its space group is No. 123. Its total magnetic moment is 0.45 μB/atom. The calculation puts the calculated density at 5917 kg/m3. The total energy comes out at -2.996 eV per atom. Its energy above the most stable polymorph in this dataset is 0.0 kJ per mole of atoms.

a = 5.853 Å, b = 5.853 Å, c = 3.663 Å
α = 90.00°, β = 90.00°, γ = 90.00°
Atoms (fractional coordinates):
Ni1 0.000 0.000 0.000
Sn1 0.500 0.500 0.500
I1 0.000 0.500 0.000
I2 0.500 0.000 0.000
O1 0.000 0.000 0.500